Entry 1:
The following is a PBE-GGA calculation of a relaxed FeSbRh2 crystal, from Alexandria via LeMat-Bulk.

Geometry as POSCAR:
```
FeSbRh2
1.0
-2.4380 -0.5421 3.6396
-3.2571 -2.9788 0.0513
0.4114 -3.6789 2.4043
Fe Rh Sb
1 2 1
Direct
0.5000 0.5000 0.5000
0.0000 0.0000 0.0000
0.2500 0.2500 0.2500
0.7500 0.7500 0.7500
```

Computed properties:
* Fermi-level density of states: 3.820 states/eV/f.u.
* formation energy (no corrections): -19.5 meV per atom
* magnetic moment: 0.6700 μB per atom
* VASP energy: -6.8414 eV per atom



Entry 2:
The following is a PBE-GGA calculation of a relaxed Cd2GeF8 crystal, from Alexandria via LeMat-Bulk.

Geometry as POSCAR:
```
Cd2GeF8
1.0
-1.0426 -4.3210 -1.0279
2.0704 -1.9774 5.2550
-4.6292 -0.0130 3.7923
Ge F Cd
1 8 2
Direct
0.0000 0.0000 0.0000
0.8012 0.9206 0.2824
0.1988 0.7176 0.0794
0.7243 0.8670 0.8670
0.2757 0.1330 0.1330
0.8012 0.2824 0.9206
0.1988 0.0794 0.7176
0.2535 0.5998 0.5998
0.7465 0.4002 0.4002
0.7458 0.6357 0.6357
0.2542 0.3643 0.3643
```

Computed properties:
* Fermi-level density of states: 0.000 states/eV/f.u.
* formation energy (no corrections): -2281.0 meV per atom
* magnetic moment: 0.0000 μB per atom
* VASP energy: -4.2281 eV per atom



Entry 3:
The following is a PBE-GGA calculation of a relaxed CaTmAs2Pd5 crystal, from Alexandria via LeMat-Bulk.

Geometry as POSCAR:
```
CaTmAs2Pd5
1.0
-1.3734 4.0651 0.1235
-1.7127 -0.4599 -3.9092
-7.6365 -2.6911 3.6624
Ca Tm As Pd
1 1 2 5
Direct
0.0000 0.0000 0.5000
0.0000 0.0000 0.0000
0.5000 0.5000 0.1371
0.5000 0.5000 0.8629
0.0000 0.5000 0.2688
0.5000 0.0000 0.2688
0.0000 0.5000 0.7312
0.5000 0.0000 0.7312
0.5000 0.5000 0.5000
```

Computed properties:
* E_form: -0.7111 eV/atom
* Fermi-level density of states: 2.166 states/eV/f.u.
* magnetic moment: 0.0000 μB per atom
* VASP energy: -5.3485 eV per atom



Entry 4:
The following is a PBE-GGA calculation of a relaxed CoNi2Cl crystal, from Alexandria via LeMat-Bulk.

Geometry as POSCAR:
```
CoNi2Cl
1.0
-6.8927 -2.8583 -1.6145
-5.3803 -3.9052 -3.7533
-5.4121 -5.2339 -1.2650
Ni Co Cl
2 1 1
Direct
0.0009 0.0009 0.0009
0.4991 0.4991 0.4991
0.7500 0.7500 0.7500
0.2500 0.2500 0.2500
```

Computed properties:
* offset from the most stable computed form: 50.7 kJ/mol of formula units
* Fermi-level density of states: 6.482 states/eV/f.u.
* formation energy (no corrections): 346.9 meV per atom
* magnetic moment: 0.8014 μB per atom
* VASP energy: -4.7819 eV per atom